1.
# LiAg2BiI6 (PBE, optimized geometry)
# Energy relative to the elements, uncorrected (eV/atom): -0.465
data_LiAg2BiI6
_chemical_formula_sum 'Li1 Ag2 Bi1 I6'
_cell_length_a 7.6787
_cell_length_b 7.6810
_cell_length_c 8.2622
_cell_angle_alpha 62.34
_cell_angle_beta 90.00
_cell_angle_gamma 60.03
_space_group_name_H-M_alt 'P 1'
_space_group_IT_number 1
loop_
_space_group_symop_operation_xyz
'x,y,z'
loop_
_atom_site_label
_atom_site_type_symbol
_atom_site_fract_x
_atom_site_fract_y
_atom_site_fract_z
Li1 Li 0.0000 0.0000 0.0000
Ag1 Ag 0.1959 0.6079 0.5870
Ag2 Ag 0.6978 0.6053 0.0909
Bi1 Bi 0.5067 0.9868 0.5198
I1 I 0.0961 0.1201 0.2854
I2 I 0.2788 0.1222 0.7967
I3 I 0.4064 0.4980 0.2854
I4 I 0.5987 0.4825 0.7966
I5 I 0.7839 0.8103 0.2851
I6 I 0.9191 0.8020 0.7967

***

2.
# LiTb2NpO6 (PBE, optimized geometry)
# Energy relative to the elements, uncorrected (eV/atom): -3.044
data_LiTb2NpO6
_chemical_formula_sum 'Li3 Tb6 Np3 O18'
_cell_length_a 5.7680
_cell_length_b 5.7680
_cell_length_c 15.0406
_cell_angle_alpha 90.00
_cell_angle_beta 90.00
_cell_angle_gamma 120.00
_space_group_name_H-M_alt 'R 3'
_space_group_IT_number 146
_space_group_name_Hall 'R 3'
loop_
_atom_site_label
_atom_site_type_symbol
_atom_site_fract_x
_atom_site_fract_y
_atom_site_fract_z
Li1 Li 0.0000 0.0000 0.0000
Tb1 Tb 0.0000 0.0000 0.2708
Tb2 Tb 0.0000 0.0000 0.7775
Np1 Np 0.0000 0.0000 0.4828
O1 O 0.0367 0.3483 0.5478
O2 O 0.0536 0.6721 0.0555

***

3.
# TlCoAu3 (PBE, optimized geometry)
# Energy above the most stable polymorph in this dataset (meV per atom): 780.0
data_TlCoAu3
_chemical_formula_sum 'Tl1 Co1 Au3'
_cell_length_a 5.2397
_cell_length_b 5.2397
_cell_length_c 5.2397
_cell_angle_alpha 90.00
_cell_angle_beta 90.00
_cell_angle_gamma 90.00
_space_group_name_H-M_alt 'P m -3 m'
_space_group_IT_number 221
_space_group_name_Hall '-P 4 2 3'
loop_
_atom_site_label
_atom_site_type_symbol
_atom_site_fract_x
_atom_site_fract_y
_atom_site_fract_z
Tl1 Tl 0.0000 0.0000 0.0000
Co1 Co 0.5000 0.5000 0.5000
Au1 Au 0.0000 0.0000 0.5000

***

4.
# ReC (PBE, optimized geometry)
# Energy above the most stable polymorph in this dataset (meV per atom): 504.5
data_ReC
_chemical_formula_sum 'Re2 C2'
_cell_length_a 2.9126
_cell_length_b 4.1558
_cell_length_c 3.4104
_cell_angle_alpha 90.00
_cell_angle_beta 90.00
_cell_angle_gamma 90.00
_space_group_name_H-M_alt 'P m m n'
_space_group_IT_number 59
loop_
_space_group_symop_operation_xyz
'x,y,z'
'-x,-y,-z'
'-x+1/2,-y+1/2,z'
'x+1/2,y+1/2,-z'
'x+1/2,-y,-z'
'-x+1/2,y,z'
'-x,y+1/2,-z'
'x,-y+1/2,z'
loop_
_atom_site_label
_atom_site_type_symbol
_atom_site_fract_x
_atom_site_fract_y
_atom_site_fract_z
Re1 Re 0.2500 0.2500 0.1677
C1 C 0.2500 0.7500 0.3156

***

5.
# Sn4Pb6Cl19 (PBE, optimized geometry)
# Energy relative to the elements, uncorrected (eV/atom): -1.017
data_Sn4Pb6Cl19
_chemical_formula_sum 'Sn4 Pb6 Cl19'
_cell_length_a 10.3887
_cell_length_b 10.6331
_cell_length_c 11.3245
_cell_angle_alpha 109.43
_cell_angle_beta 109.77
_cell_angle_gamma 105.38
_space_group_name_H-M_alt 'P 1'
_space_group_IT_number 1
loop_
_space_group_symop_operation_xyz
'x,y,z'
loop_
_atom_site_label
_atom_site_type_symbol
_atom_site_fract_x
_atom_site_fract_y
_atom_site_fract_z
Sn1 Sn 0.0000 0.0000 0.0000
Sn2 Sn 0.1250 0.4161 0.8864
Sn3 Sn 0.4315 0.6258 0.4883
Sn4 Sn 0.7787 0.3213 0.1164
Pb1 Pb 0.3358 0.0425 0.6770
Pb2 Pb 0.4365 0.8843 0.0791
Pb3 Pb 0.5841 0.1342 0.4315
Pb4 Pb 0.6102 0.5460 0.8514
Pb5 Pb 0.8782 0.8761 0.3814
Pb6 Pb 0.9296 0.6289 0.6255
Cl1 Cl 0.0766 0.9467 0.7979
Cl2 Cl 0.0825 0.7337 0.4915
Cl3 Cl 0.1113 0.2814 0.0783
Cl4 Cl 0.1579 0.0822 0.4623
Cl5 Cl 0.1930 0.5964 0.7669
Cl6 Cl 0.2519 0.0188 0.1692
Cl7 Cl 0.3223 0.3335 0.8418
Cl8 Cl 0.3375 0.6387 0.1274
Cl9 Cl 0.4371 0.9132 0.4860
Cl10 Cl 0.5054 0.1302 0.0051
Cl11 Cl 0.5067 0.4215 0.5511
Cl12 Cl 0.5609 0.7858 0.7551
Cl13 Cl 0.6384 0.2766 0.7960
Cl14 Cl 0.6825 0.7038 0.4761
Cl15 Cl 0.7218 0.5459 0.1416
Cl16 Cl 0.7293 0.8844 0.1266
Cl17 Cl 0.7883 0.3422 0.3631
Cl18 Cl 0.8492 0.1162 0.5570
Cl19 Cl 0.9018 0.6530 0.8898

***

6.
# ReBi (PBE, optimized geometry)
# Energy above the most stable polymorph in this dataset (meV per atom): 1508.9
data_ReBi
_chemical_formula_sum 'Re6 Bi6'
_cell_length_a 7.6576
_cell_length_b 7.6576
_cell_length_c 7.6576
_cell_angle_alpha 90.00
_cell_angle_beta 90.00
_cell_angle_gamma 90.00
_space_group_name_H-M_alt 'P m -3 n'
_space_group_IT_number 223
_space_group_name_Hall '-P 4n 2 3'
loop_
_atom_site_label
_atom_site_type_symbol
_atom_site_fract_x
_atom_site_fract_y
_atom_site_fract_z
Re1 Re 0.0000 0.2500 0.5000
Bi1 Bi 0.0000 0.5000 0.2500

***

7.
# Dy8Ho6Th (PBE, optimized geometry)
# Uncorrected energy (eV per atom): -4.654
data_Dy8Ho6Th
_chemical_formula_sum 'Dy24 Ho18 Th3'
_cell_length_a 8.9822
_cell_length_b 8.9822
_cell_length_c 20.5492
_cell_angle_alpha 90.00
_cell_angle_beta 90.00
_cell_angle_gamma 120.00
_space_group_name_H-M_alt 'R -3'
_space_group_IT_number 148
_space_group_name_Hall '-R 3'
loop_
_atom_site_label
_atom_site_type_symbol
_atom_site_fract_x
_atom_site_fract_y
_atom_site_fract_z
Dy1 Dy 0.0000 0.0000 0.0772
Dy2 Dy 0.0817 0.5568 0.3060
Ho1 Ho 0.0573 0.2454 0.2083
Th1 Th 0.0000 0.0000 0.5000

***

8.
# ScNbP2Cl (PBE, optimized geometry)
# Energy relative to the elements, uncorrected (eV/atom): -0.175
# Energy above the most stable polymorph in this dataset (meV per atom): 0.0
data_ScNbP2Cl
_chemical_formula_sum 'Sc1 Nb1 P2 Cl1'
_cell_length_a 4.8746
_cell_length_b 4.8746
_cell_length_c 4.6844
_cell_angle_alpha 90.00
_cell_angle_beta 90.00
_cell_angle_gamma 90.00
_space_group_name_H-M_alt 'P 4/m m m'
_space_group_IT_number 123
_space_group_name_Hall '-P 4 2'
loop_
_atom_site_label
_atom_site_type_symbol
_atom_site_fract_x
_atom_site_fract_y
_atom_site_fract_z
Sc1 Sc 0.0000 0.0000 0.0000
Nb1 Nb 0.5000 0.5000 0.5000
P1 P 0.0000 0.5000 0.5000
Cl1 Cl 0.5000 0.5000 0.0000

***

9.
# YCr3Au (PBE, optimized geometry)
# Energy above the most stable polymorph in this dataset (meV per atom): 1317.9
data_YCr3Au
_chemical_formula_sum 'Y1 Cr3 Au1'
_cell_length_a 4.5203
_cell_length_b 4.5203
_cell_length_c 4.5203
_cell_angle_alpha 90.00
_cell_angle_beta 90.00
_cell_angle_gamma 90.00
_space_group_name_H-M_alt 'P m -3 m'
_space_group_IT_number 221
_space_group_name_Hall '-P 4 2 3'
loop_
_atom_site_label
_atom_site_type_symbol
_atom_site_fract_x
_atom_site_fract_y
_atom_site_fract_z
Y1 Y 0.0000 0.0000 0.0000
Cr1 Cr 0.0000 0.0000 0.5000
Au1 Au 0.5000 0.5000 0.5000

***

10.
# PrPdRh4 (PBE, optimized geometry)
# Uncorrected energy (eV per atom): -6.768
data_PrPdRh4
_chemical_formula_sum 'Pr4 Pd4 Rh16'
_cell_length_a 7.4787
_cell_length_b 7.4787
_cell_length_c 7.4787
_cell_angle_alpha 90.00
_cell_angle_beta 90.00
_cell_angle_gamma 90.00
_space_group_name_H-M_alt 'F -4 3 m'
_space_group_IT_number 216
_space_group_name_Hall 'F -4 2 3'
loop_
_atom_site_label
_atom_site_type_symbol
_atom_site_fract_x
_atom_site_fract_y
_atom_site_fract_z
Pr1 Pr 0.0000 0.0000 0.0000
Pd1 Pd 0.2500 0.2500 0.2500
Rh1 Rh 0.1244 0.1244 0.6244

***

11.
# Co2RuI (PBE, optimized geometry)
# Energy relative to the elements, uncorrected (eV/atom): 1.016
# Energy above the most stable polymorph in this dataset (meV per atom): 37.9
data_Co2RuI
_chemical_formula_sum 'Co8 Ru4 I4'
_cell_length_a 5.8883
_cell_length_b 5.8883
_cell_length_c 9.1837
_cell_angle_alpha 90.00
_cell_angle_beta 90.00
_cell_angle_gamma 90.00
_space_group_name_H-M_alt 'I -4 2 d'
_space_group_IT_number 122
_space_group_name_Hall 'I -4 2bw'
loop_
_atom_site_label
_atom_site_type_symbol
_atom_site_fract_x
_atom_site_fract_y
_atom_site_fract_z
Co1 Co 0.2143 0.2500 0.1250
Ru1 Ru 0.0000 0.0000 0.0000
I1 I 0.0000 0.0000 0.5000

***

12.
# Sc3PS (PBE, optimized geometry)
# Energy relative to the elements, uncorrected (eV/atom): -1.256
# Energy above the most stable polymorph in this dataset (meV per atom): 0.0
data_Sc3PS
_chemical_formula_sum 'Sc12 P4 S4'
_cell_length_a 15.0370
_cell_length_b 3.8495
_cell_length_c 8.0113
_cell_angle_alpha 90.00
_cell_angle_beta 119.51
_cell_angle_gamma 90.00
_space_group_name_H-M_alt 'C 1 2/m 1'
_space_group_IT_number 12
loop_
_space_group_symop_operation_xyz
'x,y,z'
'-x,-y,-z'
'-x,y,-z'
'x,-y,z'
'x+1/2,y+1/2,z'
'-x+1/2,-y+1/2,-z'
'-x+1/2,y+1/2,-z'
'x+1/2,-y+1/2,z'
loop_
_atom_site_label
_atom_site_type_symbol
_atom_site_fract_x
_atom_site_fract_y
_atom_site_fract_z
Sc1 Sc 0.0465 0.0000 0.3572
Sc2 Sc 0.1552 0.5000 0.9768
Sc3 Sc 0.2367 0.5000 0.6542
P1 P 0.1457 0.0000 0.7441
S1 S 0.1316 0.5000 0.2841

***

13.
# Pm4NdRu2 (PBE, optimized geometry)
# Energy above the most stable polymorph in this dataset (meV per atom): 93.2
data_Pm4NdRu2
_chemical_formula_sum 'Pm12 Nd3 Ru6'
_cell_length_a 4.8415
_cell_length_b 4.8415
_cell_length_c 30.6387
_cell_angle_alpha 90.00
_cell_angle_beta 90.00
_cell_angle_gamma 120.00
_space_group_name_H-M_alt 'R -3 m'
_space_group_IT_number 166
_space_group_name_Hall '-R 3 2"'
loop_
_atom_site_label
_atom_site_type_symbol
_atom_site_fract_x
_atom_site_fract_y
_atom_site_fract_z
Pm1 Pm 0.0000 0.0000 0.0979
Pm2 Pm 0.0000 0.0000 0.3002
Nd1 Nd 0.0000 0.0000 0.5000
Ru1 Ru 0.0000 0.0000 0.4011

***

14.
# Ba2Sb2Te (PBE, optimized geometry)
# Energy relative to the elements, uncorrected (eV/atom): -0.872
# Energy above the most stable polymorph in this dataset (meV per atom): 210.4
data_Ba2Sb2Te
_chemical_formula_sum 'Ba4 Sb4 Te2'
_cell_length_a 9.2467
_cell_length_b 9.2467
_cell_length_c 4.9979
_cell_angle_alpha 90.00
_cell_angle_beta 90.00
_cell_angle_gamma 90.00
_space_group_name_H-M_alt 'P 4/m b m'
_space_group_IT_number 127
_space_group_name_Hall '-P 4 2ab'
loop_
_atom_site_label
_atom_site_type_symbol
_atom_site_fract_x
_atom_site_fract_y
_atom_site_fract_z
Ba1 Ba 0.1828 0.3172 0.0000
Sb1 Sb 0.1049 0.6049 0.5000
Te1 Te 0.0000 0.0000 0.0000

***

15.
# Dy2PaHg (PBE, optimized geometry)
# Energy above the most stable polymorph in this dataset (meV per atom): 219.2
data_Dy2PaHg
_chemical_formula_sum 'Dy2 Pa1 Hg1'
_cell_length_a 4.8520
_cell_length_b 4.8520
_cell_length_c 4.4923
_cell_angle_alpha 90.00
_cell_angle_beta 90.00
_cell_angle_gamma 90.00
_space_group_name_H-M_alt 'P 4/m m m'
_space_group_IT_number 123
_space_group_name_Hall '-P 4 2'
loop_
_atom_site_label
_atom_site_type_symbol
_atom_site_fract_x
_atom_site_fract_y
_atom_site_fract_z
Dy1 Dy 0.0000 0.5000 0.0000
Pa1 Pa 0.0000 0.0000 0.5000
Hg1 Hg 0.5000 0.5000 0.5000

***

16.
# NaTaO3 (PBE, optimized geometry)
# Energy relative to the elements, uncorrected (eV/atom): -2.639
data_NaTaO3
_chemical_formula_sum 'Na6 Ta6 O18'
_cell_length_a 5.3889
_cell_length_b 5.3889
_cell_length_c 15.9342
_cell_angle_alpha 90.00
_cell_angle_beta 90.00
_cell_angle_gamma 120.00
_space_group_name_H-M_alt 'R -3'
_space_group_IT_number 148
_space_group_name_Hall '-R 3'
loop_
_atom_site_label
_atom_site_type_symbol
_atom_site_fract_x
_atom_site_fract_y
_atom_site_fract_z
Na1 Na 0.0000 0.0000 0.1408
Ta1 Ta 0.0000 0.0000 0.3474
O1 O 0.0109 0.3984 0.9289

***

17.
# K12Pb3F5 (PBE, optimized geometry)
# Energy relative to the elements, uncorrected (eV/atom): -1.278
data_K12Pb3F5
_chemical_formula_sum 'K96 Pb24 F40'
_cell_length_a 18.0298
_cell_length_b 18.0298
_cell_length_c 18.0298
_cell_angle_alpha 90.00
_cell_angle_beta 90.00
_cell_angle_gamma 90.00
_space_group_name_H-M_alt 'I a -3 d'
_space_group_IT_number 230
_space_group_name_Hall '-I 4bd 2c 3'
loop_
_atom_site_label
_atom_site_type_symbol
_atom_site_fract_x
_atom_site_fract_y
_atom_site_fract_z
K1 K 0.0374 0.0456 0.6466
Pb1 Pb 0.0000 0.2500 0.1250
F1 F 0.0000 0.0000 0.0000
F2 F 0.0000 0.2500 0.3750

***

18.
# CoAgBiTe2 (PBE, optimized geometry)
# Energy relative to the elements, uncorrected (eV/atom): 1.170
data_CoAgBiTe2
_chemical_formula_sum 'Co1 Ag1 Bi1 Te2'
_cell_length_a 6.0252
_cell_length_b 6.0252
_cell_length_c 5.2070
_cell_angle_alpha 90.00
_cell_angle_beta 90.00
_cell_angle_gamma 90.00
_space_group_name_H-M_alt 'P 4/m m m'
_space_group_IT_number 123
_space_group_name_Hall '-P 4 2'
loop_
_atom_site_label
_atom_site_type_symbol
_atom_site_fract_x
_atom_site_fract_y
_atom_site_fract_z
Co1 Co 0.0000 0.0000 0.0000
Ag1 Ag 0.5000 0.5000 0.0000
Bi1 Bi 0.5000 0.5000 0.5000
Te1 Te 0.0000 0.5000 0.5000

***

19.
# PmY2Cd6 (PBE, optimized geometry)
# Uncorrected energy (eV per atom): -2.913
data_PmY2Cd6
_chemical_formula_sum 'Pm1 Y2 Cd6'
_cell_length_a 8.6513
_cell_length_b 8.6513
_cell_length_c 3.4698
_cell_angle_alpha 90.00
_cell_angle_beta 90.00
_cell_angle_gamma 120.00
_space_group_name_H-M_alt 'P 6/m m m'
_space_group_IT_number 191
_space_group_name_Hall '-P 6 2'
loop_
_atom_site_label
_atom_site_type_symbol
_atom_site_fract_x
_atom_site_fract_y
_atom_site_fract_z
Pm1 Pm 0.0000 0.0000 0.0000
Y1 Y 0.3333 0.6667 0.0000
Cd1 Cd 0.0000 0.3354 0.5000

***

20.
# DyGa4Os (PBE, optimized geometry)
# Uncorrected energy (eV per atom): -5.070
data_DyGa4Os
_chemical_formula_sum 'Dy2 Ga8 Os2'
_cell_length_a 7.7684
_cell_length_b 4.0819
_cell_length_c 6.9502
_cell_angle_alpha 90.00
_cell_angle_beta 90.00
_cell_angle_gamma 90.00
_space_group_name_H-M_alt 'P m m a'
_space_group_IT_number 51
loop_
_space_group_symop_operation_xyz
'x,y,z'
'-x,-y,-z'
'-x+1/2,-y,z'
'x+1/2,y,-z'
'x+1/2,-y,-z'
'-x+1/2,y,z'
'-x,y,-z'
'x,-y,z'
loop_
_atom_site_label
_atom_site_type_symbol
_atom_site_fract_x
_atom_site_fract_y
_atom_site_fract_z
Dy1 Dy 0.2500 0.0000 0.1278
Ga1 Ga 0.0000 0.0000 0.5000
Ga2 Ga 0.0645 0.5000 0.8248
Ga3 Ga 0.2500 0.5000 0.4504
Os1 Os 0.2500 0.0000 0.7025